LaTm2Ga6 | PBE | optimized geometry

It has space group P6/mmm (No. 191), with a = 7.3351 Å, b = 7.3351 Å, c = 4.1936 Å, α = 90.00°, β = 90.00° and γ = 120.00°. The distinct sites, in fractional coordinates, are La at (0.0000, 0.0000, 0.0000), Tm at (0.3333, 0.6667, 0.0000) and Ga at (0.0000, 0.3360, 0.5000).

The total energy comes out at -37.5 eV per formula unit. The calculation puts the density at 7.61 g/cm3. The formation energy comes out at -607.6 meV/atom.

La3TmGa4 | PBE | optimized geometry

It has space group P4/mmm (No. 123), with a = 3.689 Å, b = 3.689 Å, c = 14.993 Å, α = 90.00°, β = 90.00° and γ = 90.00°. The distinct sites, in fractional coordinates, are La at (0.000, 0.000, 0.000), La at (0.000, 0.000, 0.259), Tm at (0.000, 0.000, 0.500), Ga at (0.500, 0.500, 0.130) and Ga at (0.500, 0.500, 0.394).

The total energy comes out at -35.9 eV per formula unit. The calculation puts the density at 7.04 g/cm3. The formation energy comes out at -573.0 meV/atom.